1.
The following is a DFT calculation (PBE-GGA) of Pr2Ho3PuS6 after structural relaxation.

The value obtained for the spin magnetization is 5.9 μB/f.u. The energy relative to the elements, uncorrected comes out at -1.98 eV per atom.

Unit cell a=3.9333 b=8.0245 c=8.9087 alpha=103.90 beta=102.75 gamma=90.00
Last column: nearest neighbours and their distance in Å.
Element x y z (fractional)
1 Pr 0.8342 0.6678 0.6685  6 S 2.87-2.90
2 Pr 0.1658 0.3322 0.3315  6 S 2.87-2.90
3 Ho 0.5000 0.5000 0.0000  6 S 2.74-2.78
4 Ho 0.8328 0.1638 0.6655  6 S 2.73-2.77
5 Ho 0.1672 0.8362 0.3345  6 S 2.73-2.77
6 Pu 0.5000 0.0000 0.0000  6 S 2.83-2.84
7 S 0.3319 0.9281 0.6638  3 Ho 2.73-2.77, 1 Pu 2.83, 2 Pr 2.88
8 S 0.6624 0.5954 0.3247  3 Ho 2.74, 3 Pr 2.90
9 S 0.6681 0.0719 0.3362  3 Ho 2.73-2.77, 1 Pu 2.83, 2 Pr 2.88
10 S 0.9953 0.2524 0.9906  3 Ho 2.74-2.78, 2 Pu 2.84, 1 Pr 2.87
11 S 0.0047 0.7476 0.0094  3 Ho 2.74-2.78, 2 Pu 2.84, 1 Pr 2.87
12 S 0.3376 0.4046 0.6753  3 Ho 2.74, 3 Pr 2.90



2.
The following is a DFT calculation (PBE-GGA) of Zn2Ga3Au3 after structural relaxation.

For the formation energy, the calculation gives -0.124 eV per atom. The value obtained for the spin magnetization is 0.0 μB/f.u.

Unit cell a=5.7710 b=7.6955 c=7.6955 alpha=120.00 beta=90.00 gamma=90.00
Last column: nearest neighbours and their distance in Å.
Element x y z (fractional)
1 Zn 0.0000 0.3333 0.6667  6 Au 2.81, 2 Zn 2.89
2 Zn 0.5000 0.6667 0.3333  6 Au 2.81, 2 Zn 2.89
3 Zn 0.0000 0.6667 0.3333  6 Au 2.81, 2 Zn 2.89
4 Zn 0.5000 0.3333 0.6667  6 Au 2.81, 2 Zn 2.89
5 Ga 0.7500 0.2724 0.0000  3 Au 2.59-2.70
6 Ga 0.7500 0.7276 0.7276  3 Au 2.59-2.70
7 Ga 0.7500 0.0000 0.2724  3 Au 2.59-2.70
8 Ga 0.2500 0.7276 0.0000  3 Au 2.59-2.70
9 Ga 0.2500 0.2724 0.2724  3 Au 2.59-2.70
10 Ga 0.2500 0.0000 0.7276  3 Au 2.59-2.70
11 Au 0.7500 0.6234 0.0000  3 Ga 2.59-2.70, 4 Zn 2.81
12 Au 0.7500 0.3766 0.3766  3 Ga 2.59-2.70, 4 Zn 2.81
13 Au 0.7500 0.0000 0.6234  3 Ga 2.59-2.70, 4 Zn 2.81
14 Au 0.2500 0.3766 0.0000  3 Ga 2.59-2.70, 4 Zn 2.81
15 Au 0.2500 0.6234 0.6234  3 Ga 2.59-2.70, 4 Zn 2.81
16 Au 0.2500 0.0000 0.3766  3 Ga 2.59-2.70, 4 Zn 2.81



3.
The following is a DFT calculation (PBE-GGA) of RbBa2S after structural relaxation.

The value obtained for the spin magnetization is 0.0 μB/f.u. The energy relative to the elements, uncorrected comes out at -0.74 eV per atom.

Unit cell a=9.6901 b=9.6901 c=9.0813 alpha=57.76 beta=57.76 gamma=90.00
Last column: nearest neighbours and their distance in Å.
Element x y z (fractional)
1 S 0.5000 0.5000 0.0000  4 Ba 3.00
2 S 0.2500 0.7500 0.5000  4 Ba 3.00
3 Ba 0.4726 0.1250 0.2500  2 S 3.00
4 Ba 0.2774 0.6250 0.2500  2 S 3.00
5 Ba 0.3750 0.5274 0.7500  2 S 3.00
6 Ba 0.8750 0.7226 0.7500  2 S 3.00
7 Rb 0.0000 0.0000 0.0000  8 Ba 4.83-5.17
8 Rb 0.7500 0.2500 0.5000  8 Ba 4.83-5.17



4.
The following is a DFT calculation (PBE-GGA) of NaFe3Si after structural relaxation.

The value obtained for the spin magnetization is 7.2 μB/f.u. The energy relative to the elements, uncorrected comes out at 0.70 eV per atom.

Unit cell a=4.4137 b=4.4137 c=4.4137 alpha=90.00 beta=90.00 gamma=90.00
Last column: nearest neighbours and their distance in Å.
Element x y z (fractional)
1 Na 0.5000 0.5000 0.5000  12 Fe 3.12
2 Si 0.0000 0.0000 0.0000  6 Fe 2.21
3 Fe 0.0000 0.5000 0.0000  2 Si 2.21
4 Fe 0.0000 0.0000 0.5000  2 Si 2.21
5 Fe 0.5000 0.0000 0.0000  2 Si 2.21



5.
The following is a DFT calculation (PBE-GGA) of LiSi2Os after structural relaxation.

The value obtained for the spin magnetization is 0.0 μB/f.u. The energy relative to the elements, uncorrected comes out at 0.07 eV per atom.

Unit cell a=2.8239 b=2.8239 c=8.3519 alpha=90.00 beta=90.00 gamma=118.10
Last column: nearest neighbours and their distance in Å.
Element x y z (fractional)
1 Li 0.5000 0.5000 0.2500  4 Si 2.64, 6 Li 2.82-2.90
2 Os 0.5000 0.5000 0.7500  4 Si 2.45
3 Si 0.0000 0.0000 0.9864  2 Os 2.45, 2 Li 2.64
4 Si 0.0000 0.0000 0.5136  2 Os 2.45, 2 Li 2.64



6.
The following is a DFT calculation (PBE-GGA) of BaScMo3 after structural relaxation.

For the formation energy, the calculation gives 1.820 eV per atom. The value obtained for the spin magnetization is 4.5 μB/f.u.

Unit cell a=4.9895 b=4.9895 c=4.9895 alpha=90.00 beta=90.00 gamma=90.00
Last column: nearest neighbours and their distance in Å.
Element x y z (fractional)
1 Sc 0.0000 0.0000 0.0000  6 Mo 2.49
2 Mo 0.0000 0.5000 0.0000  2 Sc 2.49
3 Mo 0.0000 0.0000 0.5000  2 Sc 2.49
4 Mo 0.5000 0.0000 0.0000  2 Sc 2.49
5 Ba 0.5000 0.5000 0.5000  12 Mo 3.53



7.
The following is a DFT calculation (PBE-GGA) of AsIrAuClO after structural relaxation.

The value obtained for the spin magnetization is 0.0 μB/f.u. The energy relative to the elements, uncorrected comes out at -0.17 eV per atom.

Unit cell a=6.1758 b=3.7518 c=10.6177 alpha=90.00 beta=106.27 gamma=90.00
Last column: nearest neighbours and their distance in Å.
Element x y z (fractional)
1 As 0.2671 0.0000 0.5073  1 Ir 2.37, 1 Cl 2.41, 2 Au 2.47
2 As 0.2671 0.5000 0.0073  1 Ir 2.37, 1 Cl 2.41, 2 Au 2.47
3 Ir 0.5699 0.0000 0.4112  2 O 1.88
4 Ir 0.5699 0.5000 0.9112  2 O 1.88
5 Au 0.3154 0.0000 0.1643  2 As 2.47, 1 Ir 2.65
6 Au 0.3154 0.5000 0.6643  2 As 2.47, 1 Ir 2.65
7 Cl 0.9273 0.0000 0.3266  1 As 2.41, 1 Ir 2.61
8 Cl 0.9273 0.5000 0.8266  1 As 2.41, 1 Ir 2.61
9 O 0.5957 0.0000 0.9163  2 Ir 1.88
10 O 0.5957 0.5000 0.4163  2 Ir 1.88



8.
The following is a DFT calculation (PBE-GGA) of Sm3Ho6Tl after structural relaxation.

For the formation energy, the calculation gives -0.007 eV per atom. The value obtained for the spin magnetization is 0.0 μB/f.u.

Unit cell a=3.5578 b=12.8937 c=16.0481 alpha=121.24 beta=90.00 gamma=90.00
Last column: nearest neighbours and their distance in Å.
Element x y z (fractional)
1 Sm 0.7500 0.3870 0.8966  7 Ho 3.29-3.61, 1 Tl 3.31, 4 Sm 3.56
2 Sm 0.2500 0.6130 0.1034  7 Ho 3.29-3.61, 1 Tl 3.31, 4 Sm 3.56
3 Sm 0.7500 0.6217 0.4983  7 Ho 3.36-3.67, 4 Sm 3.56-3.63
4 Sm 0.2500 0.3783 0.5017  7 Ho 3.36-3.67, 4 Sm 3.56-3.63
5 Sm 0.7500 0.1254 0.0923  4 Ho 3.25-3.59, 4 Sm 3.53-3.56
6 Sm 0.2500 0.8746 0.9077  4 Ho 3.25-3.59, 4 Sm 3.53-3.56
7 Ho 0.7500 0.5943 0.7106  7 Ho 3.40-3.68, 5 Sm 3.53-3.79
8 Ho 0.2500 0.4057 0.2894  7 Ho 3.40-3.68, 5 Sm 3.53-3.79
9 Ho 0.7500 0.8581 0.1054  6 Ho 3.53-3.61, 2 Tl 3.54, 5 Sm 3.56-3.74
10 Ho 0.2500 0.1419 0.8946  6 Ho 3.53-3.61, 2 Tl 3.54, 5 Sm 3.56-3.74
11 Ho 0.7500 0.3820 0.0995  4 Sm 3.25-3.44, 7 Ho 3.40-3.61
12 Ho 0.2500 0.6180 0.9005  4 Sm 3.25-3.44, 7 Ho 3.40-3.61
13 Ho 0.7500 0.6656 0.3096  2 Tl 3.35, 3 Sm 3.36-3.50, 7 Ho 3.46-3.66
14 Ho 0.2500 0.3344 0.6904  2 Tl 3.35, 3 Sm 3.36-3.50, 7 Ho 3.46-3.66
15 Ho 0.7500 0.1147 0.4770  3 Tl 3.33-3.47, 6 Ho 3.56-3.60, 2 Sm 3.67
16 Ho 0.2500 0.8853 0.5230  3 Tl 3.33-3.47, 6 Ho 3.56-3.60, 2 Sm 3.67
17 Ho 0.7500 0.8842 0.7175  1 Tl 3.21, 3 Sm 3.39-3.59, 6 Ho 3.53-3.60
18 Ho 0.2500 0.1158 0.2825  1 Tl 3.21, 3 Sm 3.39-3.59, 6 Ho 3.53-3.60
19 Tl 0.7500 0.1170 0.6940  8 Ho 3.21-3.54, 1 Sm 3.31, 2 Tl 3.56
20 Tl 0.2500 0.8830 0.3060  8 Ho 3.21-3.54, 1 Sm 3.31, 2 Tl 3.56



9.
The following is a DFT calculation (PBE-GGA) of CdNi2W after structural relaxation.

For the formation energy, the calculation gives 0.287 eV per atom. The value obtained for the spin magnetization is 0.0 μB/f.u.

Unit cell a=5.4224 b=5.4224 c=5.4224 alpha=151.13 beta=130.99 gamma=57.88
Last column: nearest neighbours and their distance in Å.
Element x y z (fractional)
1 Cd 0.2412 0.7412 0.5000  6 Ni 2.63-2.85, 2 Cd 2.70
2 Ni 0.9763 0.9763 0.0000  4 Ni 2.49-2.70, 4 W 2.67
3 Ni 0.7559 0.2559 0.5000  4 Ni 2.49-2.70, 2 W 2.56, 4 Cd 2.63
4 W 0.5266 0.5266 0.0000  6 Ni 2.56-2.67, 2 W 2.70



10.
The following is a DFT calculation (PBE-GGA) of U2CuSi4Ni3 after structural relaxation.

The value obtained for the spin magnetization is 3.5 μB/f.u. The energy relative to the elements, uncorrected comes out at -0.53 eV per atom.

Unit cell a=3.9844 b=3.9844 c=9.4540 alpha=90.00 beta=90.00 gamma=90.00
Last column: nearest neighbours and their distance in Å.
Element x y z (fractional)
1 U 0.5000 0.0000 0.2485  8 Si 3.02-3.08, 6 Ni 3.06-3.10, 2 Cu 3.10
2 U 0.0000 0.5000 0.7515  8 Si 3.02-3.08, 6 Ni 3.06-3.10, 2 Cu 3.10
3 Cu 0.5000 0.5000 0.5000  4 Si 2.37
4 Si 0.5000 0.5000 0.0000  4 Ni 2.30
5 Si 0.0000 0.0000 0.0000  4 Ni 2.30
6 Si 0.5000 0.0000 0.6358  3 Ni 2.29-2.37, 2 Cu 2.37
7 Si 0.0000 0.5000 0.3642  3 Ni 2.29-2.37, 2 Cu 2.37
8 Ni 0.0000 0.0000 0.5000  4 Si 2.37
9 Ni 0.5000 0.0000 0.8776  5 Si 2.29-2.30
10 Ni 0.0000 0.5000 0.1224  5 Si 2.29-2.30